# 1
Material: CdCuW3
Method: DFT, GGA-PBE
State: optimized geometry

Results
uncorrected energy: -7.00 eV/atom
magnetic moment: 0.0 Bohr magnetons per cell
DFT formation energy: 8.87 eV/f.u.

Cell and atoms, written as CIF:
```
data_CdCuW3
_space_group_name_H-M_alt 'P m -3 m'
_space_group_IT_number 221
_space_group_name_Hall '-P 4 2 3'
_cell_length_a 4.544
_cell_length_b 4.544
_cell_length_c 4.544
_cell_angle_alpha 90.00
_cell_angle_beta 90.00
_cell_angle_gamma 90.00
loop_
_atom_site_label
_atom_site_type_symbol
_atom_site_fract_x
_atom_site_fract_y
_atom_site_fract_z
Cd1 Cd 0.000 0.000 0.000
Cu1 Cu 0.500 0.500 0.500
W1 W 0.000 0.500 0.500
```

# 2
Material: GeBiC2
Method: DFT, GGA-PBE
State: optimized geometry

Results
uncorrected energy: -5.52 eV/atom
magnetic moment: 0.0 Bohr magnetons per cell
DFT formation energy: 4.88 eV/f.u.

Cell and atoms, written as CIF:
```
data_GeBiC2
_space_group_name_H-M_alt 'I -4 2 d'
_space_group_IT_number 122
_space_group_name_Hall 'I -4 2bw'
_cell_length_a 5.172
_cell_length_b 5.172
_cell_length_c 9.704
_cell_angle_alpha 90.00
_cell_angle_beta 90.00
_cell_angle_gamma 90.00
loop_
_atom_site_label
_atom_site_type_symbol
_atom_site_fract_x
_atom_site_fract_y
_atom_site_fract_z
Ge1 Ge 0.000 0.000 0.000
Bi1 Bi 0.000 0.000 0.500
C1 C 0.181 0.250 0.125
```

# 3
Material: BeAg2Ru
Method: DFT, GGA-PBE
State: optimized geometry

Results
uncorrected energy: -4.44 eV/atom
magnetic moment: 0.0 Bohr magnetons per cell
DFT formation energy: 0.94 eV/f.u.

Cell and atoms, written as CIF:
```
data_BeAg2Ru
_space_group_name_H-M_alt 'C m m 2'
_space_group_IT_number 35
_cell_length_a 3.088
_cell_length_b 4.515
_cell_length_c 8.386
_cell_angle_alpha 90.00
_cell_angle_beta 90.00
_cell_angle_gamma 90.00
loop_
_space_group_symop_operation_xyz
'x,y,z'
'-x,-y,z'
'-x,y,z'
'x,-y,z'
'x+1/2,y+1/2,z'
'-x+1/2,-y+1/2,z'
'-x+1/2,y+1/2,z'
'x+1/2,-y+1/2,z'
loop_
_atom_site_label
_atom_site_type_symbol
_atom_site_fract_x
_atom_site_fract_y
_atom_site_fract_z
Be1 Be 0.000 0.000 0.000
Ag1 Ag 0.000 0.000 0.480
Ag2 Ag 0.000 0.500 0.773
Ru1 Ru 0.000 0.500 0.193
```

# 4
Material: YNb3I
Method: DFT, GGA-PBE
State: optimized geometry

Results
uncorrected energy: -6.47 eV/atom
magnetic moment: 0.0 Bohr magnetons per cell
energy relative to the elements, uncorrected: 1.174 eV/atom

Cell and atoms, written as CIF:
```
data_YNb3I
_space_group_name_H-M_alt 'P m -3 m'
_space_group_IT_number 221
_space_group_name_Hall '-P 4 2 3'
_cell_length_a 5.061
_cell_length_b 5.061
_cell_length_c 5.061
_cell_angle_alpha 90.00
_cell_angle_beta 90.00
_cell_angle_gamma 90.00
loop_
_atom_site_label
_atom_site_type_symbol
_atom_site_fract_x
_atom_site_fract_y
_atom_site_fract_z
Y1 Y 0.000 0.000 0.000
Nb1 Nb 0.000 0.500 0.500
I1 I 0.500 0.500 0.500
```